First-principles (PBE-GGA) data for Zn2InTe after structural relaxation, as listed in Alexandria.

a = 3.5354 Å, b = 3.5354 Å, c = 7.9164 Å
α = 90.00°, β = 90.00°, γ = 106.38°
Fractional positions:
In 0.5000 0.5000 0.2500
Zn 0.0000 0.0000 0.9958
Zn 0.0000 0.0000 0.5042
Te 0.5000 0.5000 0.7500

DOS(E_F) (states/eV per cell): 1.38
Spin magnetization (Bohr magnetons per cell): 0.00
Formation energy from raw total energies (eV/atom): 0.1385